Compound: YHfOF2
Source: Alexandria
Functional: GGA-PBEsol
Structure: relaxed

Properties
crystal system	tetragonal
raw formation energy	-1.933	eV per atom
E	-7.22	eV/atom

Lattice parameters (Å, degrees): 4.3063 4.3063 4.4586 90.00 90.00 90.00
Element x y z (fractional)
O 0.0000 0.0000 0.5000
F 0.5000 0.0000 0.0000
Y 0.0000 0.0000 0.0000
Hf 0.5000 0.5000 0.5000
F 0.0000 0.5000 0.0000

---

Compound: Hf2OsF2
Source: Alexandria
Functional: GGA-PBEsol
Structure: relaxed

Properties
crystal system	tetragonal
raw formation energy	-2.064	eV per atom
E	-9.48	eV/atom

Lattice parameters (Å, degrees): 3.2107 3.2107 6.9108 103.43 103.43 90.00
Element x y z (fractional)
F 0.2500 0.7500 0.5000
F 0.7500 0.2500 0.5000
Os 0.0000 0.0000 0.0000
Hf 0.3739 0.3739 0.7477
Hf 0.6261 0.6261 0.2523

---

Compound: HfPF2
Source: Alexandria
Functional: GGA-PBEsol
Structure: relaxed

Properties
crystal system	tetragonal
raw formation energy	-1.892	eV per atom
E	-6.93	eV/atom

Lattice parameters (Å, degrees): 3.8556 3.8556 7.9096 104.11 104.11 90.00
Element x y z (fractional)
P 0.7500 0.2500 0.5000
Hf 0.0000 0.0000 0.0000
F 0.2714 0.8750 0.2500
F 0.9786 0.3750 0.2500
P 0.5000 0.5000 0.0000
F 0.1250 0.0214 0.7500
Hf 0.2500 0.7500 0.5000
F 0.6250 0.7286 0.7500